1.
Density functional theory data (PBE) for a relaxed structure of Cd2SnGe2.

Cell and atoms, written as POSCAR:
```
Cd2SnGe2
1.0
8.311 0.000 0.000
0.000 8.311 0.000
0.000 0.000 3.319
Cd Sn Ge
4 2 4
direct
0.868 0.632 0.000 Cd
0.132 0.368 0.000 Cd
0.368 0.868 0.000 Cd
0.632 0.132 0.000 Cd
0.500 0.500 0.000 Sn
0.000 0.000 0.000 Sn
0.332 0.168 0.500 Ge
0.168 0.668 0.500 Ge
0.668 0.832 0.500 Ge
0.832 0.332 0.500 Ge
```

Energy of formation from the pure elements ... 0.23 eV per atom
Symmetry ... P4/mbm
Final energy ... -2.78 eV/atom
Energy relative to the lowest polymorph listed for this composition ... 18.5 kJ/mol of formula units

---

2.
Density functional theory data (PBE) for a relaxed structure of CdSn2Ge.

Cell and atoms, written as POSCAR:
```
CdSn2Ge
1.0
0.000 3.661 3.661
3.661 0.000 3.661
3.661 3.661 0.000
Sn Ge Cd
2 1 1
direct
0.750 0.750 0.750 Sn
0.250 0.250 0.250 Sn
0.000 0.000 0.000 Ge
0.500 0.500 0.500 Cd
```

Energy of formation from the pure elements ... 0.15 eV per atom
Symmetry ... Fm-3m
Final energy ... -3.23 eV/atom
Energy relative to the lowest polymorph listed for this composition ... 9.7 kJ/mol of formula units

---

3.
Density functional theory data (PBE) for a relaxed structure of CdSn2Ge.

Cell and atoms, written as POSCAR:
```
CdSn2Ge
1.0
-0.280 -2.308 2.631
3.495 -0.326 0.086
0.426 5.962 5.273
Ge Sn Cd
1 2 1
direct
0.500 0.500 0.000 Ge
0.000 0.000 0.773 Sn
0.000 0.000 0.227 Sn
0.500 0.500 0.500 Cd
```

Energy of formation from the pure elements ... 0.13 eV per atom
Symmetry ... P4/mmm
Final energy ... -3.26 eV/atom
Energy relative to the lowest polymorph listed for this composition ... 0.0 kJ/mol of formula units

---

4.
Density functional theory data (PBE) for a relaxed structure of Cd2SnGe.

Cell and atoms, written as POSCAR:
```
Cd2SnGe
1.0
5.115 0.000 0.000
2.558 4.430 0.000
2.558 1.477 4.176
Ge Cd Sn
1 2 1
direct
0.500 0.500 0.500 Ge
0.750 0.750 0.750 Cd
0.250 0.250 0.250 Cd
0.000 0.000 0.000 Sn
```

Energy of formation from the pure elements ... 0.19 eV per atom
Symmetry ... Fm-3m
Final energy ... -2.42 eV/atom
Energy relative to the lowest polymorph listed for this composition ... 20.1 kJ/mol of formula units

---

5.
Density functional theory data (PBE) for a relaxed structure of CdSnGe2.

Cell and atoms, written as POSCAR:
```
CdSnGe2
1.0
0.638 2.874 4.082
-1.345 4.849 -0.101
-3.998 1.558 2.631
Ge Sn Cd
2 1 1
direct
0.250 0.250 0.250 Ge
0.750 0.750 0.750 Ge
0.500 0.500 0.500 Sn
0.000 0.000 0.000 Cd
```

Energy of formation from the pure elements ... 0.25 eV per atom
Symmetry ... Fm-3m
Final energy ... -3.29 eV/atom
Energy relative to the lowest polymorph listed for this composition ... 0.0 kJ/mol of formula units

---

6.
Density functional theory data (PBE) for a relaxed structure of Sr2Cd4Sn3Ge.

Cell and atoms, written as POSCAR:
```
Sr2Cd4Sn3Ge
1.0
4.770 0.000 0.000
0.000 4.770 0.000
0.000 0.000 12.264
Cd Sn Sr Ge
4 3 2 1
direct
0.000 0.500 0.369 Cd
0.500 0.000 0.631 Cd
0.500 0.500 0.000 Cd
0.000 0.000 0.000 Cd
0.000 0.500 0.141 Sn
0.500 0.000 0.859 Sn
0.000 0.000 0.500 Sn
0.500 0.000 0.256 Sr
0.000 0.500 0.744 Sr
0.500 0.500 0.500 Ge
```

Energy of formation from the pure elements ... -0.31 eV per atom
Symmetry ... P-4m2
Final energy ... -2.67 eV/atom

---

7.
Density functional theory data (PBE) for a relaxed structure of CdTcSn2Ge.

Cell and atoms, written as POSCAR:
```
CdTcSn2Ge
1.0
-1.517 4.984 0.681
-4.854 -1.637 1.170
1.203 -0.265 4.618
Sn Cd Ge Tc
2 1 1 1
direct
0.500 0.000 0.000 Sn
0.000 0.500 0.000 Sn
0.500 0.500 0.500 Cd
0.000 0.000 0.500 Ge
0.000 0.000 0.000 Tc
```

Energy of formation from the pure elements ... 0.19 eV per atom
Symmetry ... P4/mmm
Final energy ... -4.59 eV/atom
Energy relative to the lowest polymorph listed for this composition ... 0.0 kJ/mol of formula units

---

8.
Density functional theory data (PBE) for a relaxed structure of CdTcSn2Ge.

Cell and atoms, written as POSCAR:
```
CdTcSn2Ge
1.0
-3.609 -3.422 1.175
0.780 -2.426 -4.672
3.540 -2.996 2.147
Ge Sn Cd Tc
1 2 1 1
direct
0.500 0.500 0.500 Ge
0.000 0.000 0.500 Sn
0.500 0.000 0.000 Sn
0.000 0.500 0.000 Cd
0.000 0.000 0.000 Tc
```

Energy of formation from the pure elements ... 0.58 eV per atom
Symmetry ... P4/mmm
Final energy ... -4.20 eV/atom
Energy relative to the lowest polymorph listed for this composition ... 187.5 kJ/mol of formula units

---

What did the first record say?
Density functional theory data (PBE) for a relaxed structure of Cd2SnGe2.

Cell and atoms, written as POSCAR:
```
Cd2SnGe2
1.0
8.311 0.000 0.000
0.000 8.311 0.000
0.000 0.000 3.319
Cd Sn Ge
4 2 4
direct
0.868 0.632 0.000 Cd
0.132 0.368 0.000 Cd
0.368 0.868 0.000 Cd
0.632 0.132 0.000 Cd
0.500 0.500 0.000 Sn
0.000 0.000 0.000 Sn
0.332 0.168 0.500 Ge
0.168 0.668 0.500 Ge
0.668 0.832 0.500 Ge
0.832 0.332 0.500 Ge
```

Energy of formation from the pure elements ... 0.23 eV per atom
Symmetry ... P4/mbm
Final energy ... -2.78 eV/atom
Energy relative to the lowest polymorph listed for this composition ... 18.5 kJ/mol of formula units

---

The lowest final energy belongs to which entry?
number 7

---

What did the fourth record say?
Density functional theory data (PBE) for a relaxed structure of Cd2SnGe.

Cell and atoms, written as POSCAR:
```
Cd2SnGe
1.0
5.115 0.000 0.000
2.558 4.430 0.000
2.558 1.477 4.176
Ge Cd Sn
1 2 1
direct
0.500 0.500 0.500 Ge
0.750 0.750 0.750 Cd
0.250 0.250 0.250 Cd
0.000 0.000 0.000 Sn
```

Energy of formation from the pure elements ... 0.19 eV per atom
Symmetry ... Fm-3m
Final energy ... -2.42 eV/atom
Energy relative to the lowest polymorph listed for this composition ... 20.1 kJ/mol of formula units

---

Which value of final energy does entry 5 give?
-3.29 eV/atom